(1)
A PBEsol-optimized structure of AlTcNi. Source: Alexandria via LeMat-Bulk, functional meta-GGA SCAN.

Unit cell a=3.951 b=3.951 c=3.951 alpha=60.00 beta=60.00 gamma=60.00
Sites, in units of the cell vectors:
1 Al 0.500 0.500 0.500
2 Tc 0.000 0.000 0.000
3 Ni 0.250 0.250 0.250

Values from the calculation:
- SG = F-43m, No. 216
- energy above the most stable polymorph in this dataset (eV/f.u.) = 0.77
- ΔH_f (0 K) (eV per atom) = -0.0573

***

(2)
A PBEsol-optimized structure of AlTcNi. Source: Alexandria via LeMat-Bulk, functional meta-GGA SCAN.

Unit cell a=2.633 b=2.633 c=5.762 alpha=103.21 beta=103.21 gamma=90.00
Sites, in units of the cell vectors:
1 Al 0.991 0.991 0.982
2 Tc 0.673 0.673 0.346
3 Ni 0.336 0.336 0.672

Values from the calculation:
- SG = I4mm, No. 107
- energy above the most stable polymorph in this dataset (eV/f.u.) = 0.00
- ΔH_f (0 K) (eV per atom) = -0.3143

***

(3)
A PBEsol-optimized structure of Al2NiTe. Source: Alexandria via LeMat-Bulk, functional meta-GGA SCAN.

Unit cell a=4.617 b=4.617 c=4.617 alpha=60.00 beta=60.00 gamma=60.00
Sites, in units of the cell vectors:
1 Ni 0.500 0.500 0.500
2 Al 0.000 0.000 0.000
3 Al 0.750 0.750 0.750
4 Te 0.250 0.250 0.250

Values from the calculation:
- SG = F-43m, No. 216
- formation energy from raw total energies (eV/atom) = 0.311

***

(4)
A PBEsol-optimized structure of AlNiTe3. Source: Alexandria via LeMat-Bulk, functional meta-GGA SCAN.

Unit cell a=5.003 b=5.003 c=5.003 alpha=90.00 beta=90.00 gamma=90.00
Sites, in units of the cell vectors:
1 Al 0.500 0.500 0.500
2 Te 0.500 0.000 0.000
3 Te 0.000 0.000 0.500
4 Te 0.000 0.500 0.000
5 Ni 0.000 0.000 0.000

Values from the calculation:
- SG = Pm-3m, No. 221
- formation energy from raw total energies (eV/atom) = 0.401

***

(5)
A PBEsol-optimized structure of Al2NiTe. Source: Alexandria via LeMat-Bulk, functional meta-GGA SCAN.

Unit cell a=3.823 b=3.823 c=5.406 alpha=110.71 beta=110.71 gamma=90.00
Sites, in units of the cell vectors:
1 Te 0.000 0.000 0.000
2 Ni 0.500 0.500 0.000
3 Al 0.250 0.750 0.500
4 Al 0.750 0.250 0.500

Values from the calculation:
- SG = I4/mmm, No. 139
- formation energy from raw total energies (eV/atom) = 0.208

***

(6)
A PBEsol-optimized structure of AlNiTe. Source: Alexandria via LeMat-Bulk, functional meta-GGA SCAN.

Unit cell a=4.261 b=4.261 c=4.261 alpha=60.00 beta=60.00 gamma=60.00
Sites, in units of the cell vectors:
1 Al 0.500 0.500 0.500
2 Ni 0.250 0.250 0.250
3 Te 0.000 0.000 0.000

Values from the calculation:
- SG = F-43m, No. 216
- formation energy from raw total energies (eV/atom) = -0.202

***

What did we get for energy? Answer: -59.16 -59.93 -67.68 -133.67 -68.10 -61.78 eV for the cell shown, in the order shown.
What did we get for DOS(E_F)? Answer: 0.30 1.39 3.09 5.83 2.16 1.81 states/eV/cell, in the order shown.
What did we get for magnetization? Answer: 1.99 0.00 0.00 0.00 0.00 0.00 μB per cell, in the order shown.